1.
An optimized crystal structure of Ac2BiMo, computed with PBE.

Cell and atoms, written as POSCAR:
```
Ac2BiMo
1.0
3.4956 0.0000 0.0000
1.7478 3.0273 0.0000
1.7478 1.0091 12.0521
Mo Ac Bi
1 2 1
direct
0.0000 0.0000 0.0000
0.9187 0.9187 0.2439
0.0813 0.0813 0.7561
0.5000 0.5000 0.5000
```

Summary:
DFT total energy = -19.6 eV for the cell shown
Symmetry = No. 166
Excess energy over the best structure of this formula in the dataset = 0.6205 eV/atom
Energy of formation from the pure elements = 0.824 eV/atom
Mass density = 9.9 g/cm3
DOS(E_F) = 5.43 states/eV per cell


2.
An optimized crystal structure of NaHoGeO4, computed with PBE.

Cell and atoms, written as POSCAR:
```
NaHoGeO4
1.0
5.3226 0.0000 0.0000
0.0000 6.4787 0.0000
0.0000 0.0000 11.4799
Ge O Ho Na
4 16 4 4
direct
0.4470 0.7500 0.5979
0.0530 0.7500 0.0979
0.9470 0.2500 0.9021
0.5530 0.2500 0.4021
0.2072 0.9582 0.1750
0.1718 0.7500 0.9545
0.8282 0.2500 0.0455
0.3282 0.7500 0.4545
0.2072 0.5418 0.1750
0.2261 0.2500 0.3885
0.6718 0.2500 0.5455
0.2928 0.5418 0.6750
0.7928 0.0418 0.8250
0.7261 0.7500 0.1115
0.7072 0.4582 0.3250
0.2928 0.9582 0.6750
0.2739 0.2500 0.8885
0.7928 0.4582 0.8250
0.7739 0.7500 0.6115
0.7072 0.0418 0.3250
0.9945 0.2500 0.2226
0.5055 0.2500 0.7226
0.0055 0.7500 0.7774
0.4945 0.7500 0.2774
0.0000 0.5000 0.5000
0.5000 0.0000 0.0000
0.0000 0.0000 0.5000
0.5000 0.5000 0.0000
```

Summary:
DFT total energy = -191.0 eV for the cell shown
Symmetry = No. 62
Excess energy over the best structure of this formula in the dataset = 0.0000 eV/atom
E_form (uncorrected) = -2486 meV/atom
Mass density = 5.4 g/cm3
DOS(E_F) = 0.00 states/eV per cell


3.
An optimized crystal structure of Pd13I2, computed with PBE.

Cell and atoms, written as POSCAR:
```
Pd13I2
1.0
-5.9210 -1.9941 -0.7907
3.2960 0.2881 -6.1612
0.8488 -5.7364 2.9889
Pd I
13 2
direct
0.6657 0.9993 0.3315
0.7965 0.1950 0.8030
0.2655 0.4012 0.9385
0.0659 0.5939 0.7403
0.4741 0.2018 0.1250
0.7345 0.5988 0.0615
0.5259 0.7982 0.8750
0.5952 0.3872 0.6058
0.0000 0.0000 0.0000
0.4048 0.6128 0.3942
0.2035 0.8050 0.1970
0.3343 0.0007 0.6685
0.9341 0.4061 0.2597
0.8397 0.7700 0.5573
0.1603 0.2300 0.4427
```

Summary:
DFT total energy = -69.4 eV for the cell shown
Symmetry = No. 2
E_form (uncorrected) = 78 meV/atom
Mass density = 10.9 g/cm3
DOS(E_F) = 20.98 states/eV per cell


4.
An optimized crystal structure of Cs2NpI5Br, computed with PBE.

Cell and atoms, written as POSCAR:
```
Cs2NpI5Br
1.0
8.5090 -0.0710 -0.1030
-4.1027 7.4550 0.1030
-4.1027 -2.5585 7.0030
I Np Br Cs
5 1 1 2
direct
0.0000 0.2476 0.2476
0.0000 0.7510 0.2466
0.4955 0.2466 0.2466
0.0000 0.2466 0.7510
0.5045 0.7510 0.7510
0.0000 0.9954 0.9954
0.0000 0.7644 0.7644
0.5000 0.7487 0.2487
0.5000 0.2487 0.7487
```

Summary:
DFT total energy = -35.3 eV for the cell shown
Symmetry = No. 107
E_form (uncorrected) = -1246 meV/atom
Mass density = 4.6 g/cm3
DOS(E_F) = 4.26 states/eV per cell


5.
An optimized crystal structure of ZnCoRu2, computed with PBE.

Cell and atoms, written as POSCAR:
```
ZnCoRu2
1.0
-1.9309 3.1015 -0.5353
-2.5600 -1.9390 -2.0001
-1.9611 -0.6747 3.1643
Co Ru Zn
1 2 1
direct
0.5000 0.0000 0.5000
0.0000 0.0000 0.0000
0.0000 0.5000 0.5000
0.5000 0.5000 0.0000
```

Summary:
DFT total energy = -25.9 eV for the cell shown
Symmetry = No. 123
Energy of formation from the pure elements = 0.246 eV/atom
Mass density = 10.3 g/cm3
DOS(E_F) = 6.70 states/eV per cell


6.
An optimized crystal structure of MgReBr2, computed with PBE.

Cell and atoms, written as POSCAR:
```
MgReBr2
1.0
-6.4075 7.8570 0.9402
-5.2180 7.8432 3.8639
-3.6989 9.3590 1.5492
Re Mg Br
1 1 2
direct
0.0000 0.0000 0.0000
0.5000 0.5000 0.5000
0.9202 0.9202 0.9202
0.0798 0.0798 0.0798
```

Summary:
DFT total energy = -15.5 eV for the cell shown
Symmetry = No. 166
Excess energy over the best structure of this formula in the dataset = 0.4366 eV/atom
E_form (uncorrected) = 483 meV/atom
Mass density = 7.1 g/cm3
DOS(E_F) = 3.45 states/eV per cell


7.
An optimized crystal structure of CaPbBr, computed with PBE.

Cell and atoms, written as POSCAR:
```
CaPbBr
1.0
3.8659 0.0000 0.0000
-1.9329 3.3479 0.0000
0.0000 0.0000 8.3993
Ca Br Pb
1 1 1
direct
0.6667 0.3333 0.2952
0.0000 0.0000 0.0834
0.3333 0.6667 0.6214
```

Summary:
DFT total energy = -10.0 eV for the cell shown
Symmetry = No. 156
Excess energy over the best structure of this formula in the dataset = 0.0947 eV/atom
E_form (uncorrected) = -857 meV/atom
Mass density = 5.0 g/cm3
DOS(E_F) = 1.95 states/eV per cell


8.
An optimized crystal structure of RbHfO2, computed with PBE.

Cell and atoms, written as POSCAR:
```
RbHfO2
1.0
5.8828 0.0000 0.0000
0.0000 5.8828 0.0000
2.9414 2.9414 5.3169
O Hf Rb
4 2 2
direct
0.8750 0.0752 0.7500
0.9248 0.6250 0.2500
0.3750 0.1748 0.7500
0.8252 0.1250 0.2500
0.0000 0.0000 0.0000
0.7500 0.2500 0.5000
0.2500 0.7500 0.5000
0.5000 0.5000 0.0000
```

Summary:
DFT total energy = -60.2 eV for the cell shown
Symmetry = No. 122
E_form (uncorrected) = -2310 meV/atom
Mass density = 5.3 g/cm3
DOS(E_F) = 4.28 states/eV per cell


9.
An optimized crystal structure of ThZn3Cu, computed with PBE.

Cell and atoms, written as POSCAR:
```
ThZn3Cu
1.0
-1.0891 5.7420 -0.8247
-3.9237 -0.1063 4.4415
5.9468 1.2725 1.0065
Zn Th Cu
6 2 2
direct
0.0000 0.0000 0.2866
0.7500 0.7776 0.8888
0.2500 0.2224 0.1112
0.5000 0.0000 0.2866
0.5000 0.0000 0.7134
0.0000 0.0000 0.7134
0.2500 0.5333 0.7666
0.7500 0.4667 0.2334
0.7500 0.3031 0.6515
0.2500 0.6969 0.3485
```

Summary:
DFT total energy = -33.0 eV for the cell shown
Symmetry = No. 63
Excess energy over the best structure of this formula in the dataset = 0.0000 eV/atom
Energy of formation from the pure elements = -0.233 eV/atom
Mass density = 8.9 g/cm3
DOS(E_F) = 7.36 states/eV per cell


10.
An optimized crystal structure of PbI2, computed with PBE.

Cell and atoms, written as POSCAR:
```
PbI2
1.0
4.6543 0.0000 0.0000
-2.3272 4.0308 0.0000
0.0000 0.0000 14.9747
I Pb
4 2
direct
0.0000 0.0000 0.1249
0.6667 0.3333 0.8751
0.3333 0.6667 0.3751
0.0000 0.0000 0.6249
0.6667 0.3333 0.5000
0.3333 0.6667 0.0000
```

Summary:
DFT total energy = -17.5 eV for the cell shown
Symmetry = No. 186
E_form (uncorrected) = -650 meV/atom
Mass density = 5.4 g/cm3
DOS(E_F) = 0.00 states/eV per cell


11.
An optimized crystal structure of MgZrNi5, computed with PBE.

Cell and atoms, written as POSCAR:
```
MgZrNi5
1.0
-4.5523 0.0406 -1.2377
0.4075 -7.6575 -1.7500
-2.5926 -2.2999 9.4602
Zr Ni Mg
4 20 4
direct
0.7500 0.2481 0.4381
0.2500 0.2519 0.9381
0.2500 0.7519 0.5619
0.7500 0.7481 0.0619
0.7500 0.3092 0.7612
0.7500 0.8092 0.7388
0.5036 0.4324 0.1924
0.9964 0.9324 0.3076
0.2500 0.6908 0.2388
0.7500 0.0415 0.9035
0.2500 0.5849 0.0159
0.7500 0.9151 0.5159
0.9964 0.4324 0.1924
0.7500 0.5415 0.5965
0.0036 0.0676 0.6924
0.2500 0.1908 0.2612
0.4964 0.0676 0.6924
0.7500 0.4151 0.9841
0.0036 0.5676 0.8076
0.5036 0.9324 0.3076
0.4964 0.5676 0.8076
0.2500 0.4585 0.4035
0.2500 0.0849 0.4841
0.2500 0.9585 0.0965
0.2500 0.8622 0.8610
0.2500 0.3622 0.6390
0.7500 0.1378 0.1390
0.7500 0.6378 0.3610
```

Summary:
DFT total energy = -164.3 eV for the cell shown
Symmetry = No. 62
Energy of formation from the pure elements = -0.289 eV/atom
Mass density = 7.3 g/cm3
DOS(E_F) = 26.20 states/eV per cell


12.
An optimized crystal structure of CaNd2HoBi4, computed with PBE.

Cell and atoms, written as POSCAR:
```
CaNd2HoBi4
1.0
-0.3592 3.0975 3.3332
-4.3130 -5.0644 4.2416
4.8228 -4.3832 4.5931
Bi Ca Nd Ho
4 1 2 1
direct
0.0000 0.2573 0.2437
0.5000 0.2536 0.7535
0.5000 0.7464 0.2465
0.0000 0.7427 0.7563
0.0000 0.5000 0.5000
0.0000 0.0000 0.0000
0.5000 0.0000 0.5000
0.5000 0.5000 0.0000
```

Summary:
DFT total energy = -38.3 eV for the cell shown
Symmetry = No. 10
Energy of formation from the pure elements = -0.834 eV/atom
Mass density = 8.2 g/cm3
DOS(E_F) = 3.88 states/eV per cell